Here is a geometry-optimized Tl8Sn2Pb3 structure from Alexandria via LeMat-Bulk. Energies are from PBE. Values from VASP.

Structure (Quantum ESPRESSO input):
```
&SYSTEM
  ibrav = 0, nat = 13, ntyp = 3
/
ATOMIC_SPECIES
Pb 207.20 Pb.upf
Tl 204.38 Tl.upf
Sn 118.71 Sn.upf
CELL_PARAMETERS angstrom
6.605 0.797 2.501
3.421 8.059 1.074
1.482 0.223 8.693
ATOMIC_POSITIONS angstrom
Pb 3.303 0.398 1.251
Tl 6.414 5.184 3.005
Tl 7.322 4.121 6.102
Pb 8.626 3.196 9.078
Sn 7.690 6.364 8.503
Tl 4.187 4.958 6.166
Sn 3.819 2.715 3.764
Tl 6.045 7.732 5.532
Pb 2.883 5.883 3.189
Tl 5.464 1.347 6.736
Tl 6.823 1.896 3.687
Tl 5.095 3.895 9.263
Tl 4.685 7.183 8.581
```

## Properties
DFT formation energy: 0.075 eV per atom